1.
{
  "formula": "MgAgRh2O",
  "functional": "PBE",
  "state": "optimized geometry",
  "cell": [[4.108, 0.000, 0.000], [0.000, 4.108, 0.000], [0.000, 0.000, 4.515]],
  "species": ["Mg", "Ag", "Rh", "Rh", "O"],
  "fractional_positions": [[0.000, 0.000, 0.000], [0.500, 0.500, 0.000], [0.000, 0.500, 0.500], [0.500, 0.000, 0.500], [0.500, 0.500, 0.500]],
  "vol_a3_per_cell": 76.2,
  "sg": "P4/mmm (123)",
  "dos_at_fermi_per_ev_atom": 0.5829,
  "formation_energy_uncorrected_mev_per_atom": -35,
  "mass_density_g_cm3": 7.7,
  "total_magnetization_mub_per_fu": 0.00
}

2.
{
  "formula": "Sm5Tl6Ag",
  "functional": "PBE",
  "state": "optimized geometry",
  "cell": [[-2.642, 3.879, 8.213], [2.642, -3.879, 8.213], [2.642, 3.879, -8.213]],
  "species": ["Sm", "Sm", "Sm", "Sm", "Sm", "Tl", "Tl", "Tl", "Tl", "Tl", "Tl", "Ag"],
  "fractional_positions": [[0.000, 0.000, 0.000], [0.175, 0.675, 0.500], [0.352, 0.352, 0.000], [0.648, 0.648, 0.000], [0.825, 0.325, 0.500], [0.084, 0.835, 0.248], [0.241, 0.500, 0.741], [0.413, 0.165, 0.248], [0.587, 0.835, 0.752], [0.759, 0.500, 0.259], [0.916, 0.165, 0.752], [0.500, 0.000, 0.500]],
  "formation_enthalpy_0k_ev_per_fu": -3.6,
  "vol_a3_per_cell": 336.7,
  "sg": "Immm (71)",
  "dos_at_fermi_per_ev_atom": 0.6228,
  "mass_density_g_cm3": 10.3,
  "total_magnetization_mub_per_fu": 0.00
}

3.
{
  "formula": "LaSmPtBr",
  "functional": "PBE",
  "state": "optimized geometry",
  "cell": [[2.097, 1.211, 7.905], [-2.097, 1.211, 7.905], [0.000, -2.421, 7.905]],
  "species": ["La", "Sm", "Pt", "Br"],
  "fractional_positions": [[0.000, 0.000, 0.000], [0.201, 0.201, 0.201], [0.599, 0.599, 0.599], [0.771, 0.771, 0.771]],
  "vol_a3_per_cell": 120.4,
  "sg": "R3m (160)",
  "dos_at_fermi_per_ev_atom": 0.9555,
  "formation_energy_uncorrected_mev_per_atom": -1279,
  "mass_density_g_cm3": 7.8,
  "total_magnetization_mub_per_fu": 0.00
}

4.
{
  "formula": "BaTcNO2",
  "functional": "PBE",
  "state": "optimized geometry",
  "cell": [[4.115, 0.000, 0.000], [0.000, 4.115, 0.000], [0.000, 0.000, 3.932]],
  "species": ["Ba", "Tc", "N", "O", "O"],
  "fractional_positions": [[0.000, 0.000, 0.000], [0.500, 0.500, 0.500], [0.500, 0.500, 0.000], [0.000, 0.500, 0.500], [0.500, 0.000, 0.500]],
  "vol_a3_per_cell": 66.6,
  "sg": "P4/mmm (123)",
  "dos_at_fermi_per_ev_atom": 0.8070,
  "formation_energy_uncorrected_mev_per_atom": -1410,
  "mass_density_g_cm3": 7.0,
  "total_magnetization_mub_per_fu": 0.27
}

5.
{
  "formula": "SrInSi2Pd5",
  "functional": "PBE",
  "state": "optimized geometry",
  "cell": [[4.745, 0.000, 0.000], [0.000, 4.745, 0.000], [0.000, 0.000, 7.308]],
  "species": ["Sr", "In", "Si", "Si", "Pd", "Pd", "Pd", "Pd", "Pd"],
  "fractional_positions": [[0.000, 0.000, 0.000], [0.000, 0.000, 0.500], [0.500, 0.500, 0.341], [0.500, 0.500, 0.659], [0.000, 0.500, 0.277], [0.000, 0.500, 0.723], [0.500, 0.000, 0.277], [0.500, 0.000, 0.723], [0.500, 0.500, 0.000]],
  "vol_a3_per_cell": 164.5,
  "sg": "P4/mmm (123)",
  "dos_at_fermi_per_ev_atom": 0.3150,
  "formation_energy_uncorrected_mev_per_atom": -528,
  "mass_density_g_cm3": 8.0,
  "total_magnetization_mub_per_fu": 0.00
}

6.
{
  "formula": "Hf2CdTc2",
  "functional": "PBE",
  "state": "optimized geometry",
  "cell": [[7.436, 0.000, 0.000], [0.000, 7.436, 0.000], [0.000, 0.000, 3.410]],
  "species": ["Hf", "Hf", "Hf", "Hf", "Cd", "Cd", "Tc", "Tc", "Tc", "Tc"],
  "fractional_positions": [[0.155, 0.345, 0.000], [0.345, 0.845, 0.000], [0.655, 0.155, 0.000], [0.845, 0.655, 0.000], [0.000, 0.000, 0.500], [0.500, 0.500, 0.500], [0.142, 0.642, 0.500], [0.358, 0.142, 0.500], [0.642, 0.858, 0.500], [0.858, 0.358, 0.500]],
  "formation_enthalpy_0k_ev_per_fu": -0.2,
  "vol_a3_per_cell": 188.5,
  "relative_energy_mev_per_atom": 0,
  "sg": "P4/mbm (127)",
  "dos_at_fermi_per_ev_atom": 0.6026,
  "mass_density_g_cm3": 11.7,
  "total_magnetization_mub_per_fu": 0.00
}